Here is an optimized crystal structure of PmPaF6 from the Alexandria database. Energies are from GGA-PBE.

The structure belongs to space group Fm-3m (No. 225); the cell edges are 9.192, 9.192 and 9.192 Å and the angles 90.00°, 90.00° and 90.00°. Symmetry generates all atoms from Pm at (0.000, 0.000, 0.000), Pa at (0.000, 0.000, 0.500) and F at (0.000, 0.000, 0.249).

As for the calculated volume: 24.3 Å³/atom. The uncorrected formation energy comes out at -3689 meV per atom. The calculation puts the density of states at the Fermi level at 0.8699 states/eV/atom. As for the total magnetization: 7.1 Bohr magnetons per cell. As for the energy: -6.87 eV/atom.

***

Here is an optimized crystal structure of Pr2PaF from the Alexandria database. Energies are from GGA-PBE.

The structure belongs to space group R-3m (No. 166, hexagonal axes); the cell edges are 3.2852, 3.2852 and 31.5536 Å and the angles 90.00°, 90.00° and 120.00°. Symmetry generates all atoms from Pr at (0.0000, 0.0000, 0.1037), Pa at (0.0000, 0.0000, 0.0000) and F at (0.0000, 0.0000, 0.5000).

As for the calculated volume: 24.6 Å³/atom. The uncorrected formation energy comes out at -821 meV per atom. The calculation puts the density of states at the Fermi level at 0.7774 states/eV/atom. As for the total magnetization: 0.0 Bohr magnetons per cell. As for the energy: -6.05 eV/atom.

***

Here is an optimized crystal structure of Pa2PtF from the Alexandria database. Energies are from GGA-PBE.

The structure belongs to space group R-3m (No. 166, hexagonal axes); the cell edges are 3.1028, 3.1028 and 28.8867 Å and the angles 90.00°, 90.00° and 120.00°. Symmetry generates all atoms from Pa at (0.0000, 0.0000, 0.0941), Pt at (0.0000, 0.0000, 0.0000) and F at (0.0000, 0.0000, 0.5000).

As for the calculated volume: 20.1 Å³/atom. The uncorrected formation energy comes out at -708 meV per atom. The calculation puts the density of states at the Fermi level at 1.5539 states/eV/atom. As for the total magnetization: 7.0 Bohr magnetons per cell. As for the energy: -7.43 eV/atom.

***

Here is an optimized crystal structure of PuPa2F11 from the Alexandria database. Energies are from GGA-PBE.

The structure belongs to space group Ibam (No. 72); the cell edges are 8.581, 10.642 and 11.436 Å and the angles 90.00°, 90.00° and 90.00°. Symmetry generates all atoms from Pu at (0.000, 0.000, 0.250), Pa at (0.148, 0.318, 0.000), F at (0.000, 0.500, 0.000), F at (0.094, 0.180, 0.139), F at (0.129, 0.286, 0.500) and F at (0.224, 0.074, 0.366).

As for the calculated volume: 18.6 Å³/atom. The uncorrected formation energy comes out at -3764 meV per atom. The calculation puts the density of states at the Fermi level at 1.7533 states/eV/atom. As for the total magnetization: 28.0 Bohr magnetons per cell. As for the energy: -7.62 eV/atom.

***

Here is an optimized crystal structure of Pu2PaF8 from the Alexandria database. Energies are from GGA-PBE.

The structure belongs to space group Immm (No. 71); the cell edges are 3.924, 6.581 and 11.657 Å and the angles 90.00°, 90.00° and 90.00°. Symmetry generates all atoms from Pu at (0.000, 0.000, 0.178), Pa at (0.000, 0.000, 0.500), F at (0.000, 0.199, 0.000), F at (0.000, 0.268, 0.343) and F at (0.000, 0.500, 0.137).

As for the calculated volume: 13.7 Å³/atom. The uncorrected formation energy comes out at -3385 meV per atom. The calculation puts the density of states at the Fermi level at 2.1887 states/eV/atom. As for the total magnetization: 26.0 Bohr magnetons per cell. As for the energy: -8.22 eV/atom.

***

Here is an optimized crystal structure of Pu2PaF8 from the Alexandria database. Energies are from GGA-PBE.

The structure belongs to space group C2/m (No. 12); the cell edges are 7.235, 10.493 and 4.280 Å and the angles 90.00°, 99.44° and 90.00°. Symmetry generates all atoms from Pu at (0.000, 0.164, 0.000), Pa at (0.000, 0.500, 0.500), F at (0.000, 0.270, 0.500), F at (0.168, 0.000, 0.375) and F at (0.174, 0.375, 0.063).

As for the calculated volume: 14.6 Å³/atom. The uncorrected formation energy comes out at -3370 meV per atom. The calculation puts the density of states at the Fermi level at 2.4096 states/eV/atom. As for the total magnetization: 26.0 Bohr magnetons per cell. As for the energy: -8.20 eV/atom.

***

Here is an optimized crystal structure of PuPa2F8 from the Alexandria database. Energies are from GGA-PBE.

The structure belongs to space group C2/m (No. 12); the cell edges are 11.550, 7.973 and 4.225 Å and the angles 90.00°, 109.96° and 90.00°. Symmetry generates all atoms from Pu at (0.000, 0.000, 0.000), Pa at (0.179, 0.500, 0.429), F at (0.059, 0.500, 0.806), F at (0.136, 0.219, 0.329) and F at (0.211, 0.000, 0.945).

As for the calculated volume: 16.6 Å³/atom. The uncorrected formation energy comes out at -3287 meV per atom. The calculation puts the density of states at the Fermi level at 1.0377 states/eV/atom. As for the total magnetization: 19.9 Bohr magnetons per cell. As for the energy: -7.68 eV/atom.

***

Here is an optimized crystal structure of RbPa2F9 from the Alexandria database. Energies are from GGA-PBE.

The structure belongs to space group P6/mmm (No. 191); the cell edges are 7.9359, 7.9359 and 3.6077 Å and the angles 90.00°, 90.00° and 120.00°. Symmetry generates all atoms from Rb at (0.0000, 0.0000, 0.0000), Pa at (0.3333, 0.6667, 0.0000), F at (0.0000, 0.5000, 0.0000) and F at (0.2196, 0.4392, 0.5000).

As for the calculated volume: 16.4 Å³/atom. The uncorrected formation energy comes out at -3586 meV per atom. The calculation puts the density of states at the Fermi level at 0.5316 states/eV/atom. As for the total magnetization: 2.0 Bohr magnetons per cell. As for the energy: -6.65 eV/atom.